The following is a PBE calculation of a relaxed structure of Pr4Tm, from Alexandria via LeMat-Bulk.

Results
**Density of states at the Fermi level**: 6.2 states/eV/f.u.
**Crystal system**: trigonal
**Uncorrected energy**: -23.52 eV/f.u.

Unit cell a=3.6713 b=3.6713 c=44.8529 alpha=90.00 beta=90.00 gamma=120.00
Space group R-3m (No. 166, hexagonal axes)
Unique sites:
Pr: 0.0000 0.0000 0.1022
Pr: 0.0000 0.0000 0.2994
Tm: 0.0000 0.0000 0.5000



The following is a PBE calculation of a relaxed structure of Pr4Tm3, from Alexandria via LeMat-Bulk.

Results
**Density of states at the Fermi level**: 12.5 states/eV/f.u.
**Crystal system**: monoclinic
**Uncorrected energy**: -31.82 eV/f.u.

Unit cell a=9.636 b=5.935 c=9.152 alpha=90.00 beta=115.86 gamma=90.00
Space group C2/m (No. 12)
Unique sites:
Pr: 0.137 0.000 0.415
Pr: 0.213 0.500 0.138
Tm: 0.000 0.000 0.000
Tm: 0.067 0.500 0.710